A plane-wave DFT calculation with PBE-GGA was carried out for a relaxed Pm5SmDy5 crystal.

Unit cell a=6.1282 b=6.1282 c=11.7219 alpha=90.00 beta=90.00 gamma=120.00
With the nearest neighbours (Å) after each atom.
Sites, in units of the cell vectors:
Pm1 0.0000 0.0000 0.0000  2 Dy 3.12
Pm2 0.3333 0.6667 0.3199  9 Dy 3.59-3.72, 1 Sm 3.75
Pm3 0.3333 0.6667 0.6801  9 Dy 3.59-3.72, 1 Sm 3.75
Pm4 0.6667 0.3333 0.1555  7 Pm 3.64-4.03, 3 Dy 3.77, 3 Sm 3.98
Pm5 0.6667 0.3333 0.8445  7 Pm 3.64-4.03, 3 Dy 3.77, 3 Sm 3.98
Sm1 0.3333 0.6667 0.0000  5 Pm 3.54-3.75
Dy1 0.0000 0.0000 0.2657  1 Pm 3.12, 3 Dy 3.27
Dy2 0.0000 0.0000 0.7343  1 Pm 3.12, 3 Dy 3.27
Dy3 0.3342 0.1671 0.5000  6 Dy 3.06-3.27
Dy4 0.8329 0.1671 0.5000  6 Dy 3.06-3.27
Dy5 0.8329 0.6658 0.5000  6 Dy 3.06-3.27

Computed properties:
formation enthalpy at 0 K	0.295	eV per atom
volume	34.7	Å³/atom
SG	No. 187
size of the total moment	0.0000	μB/atom

***

A plane-wave DFT calculation with PBE-GGA was carried out for a relaxed PmDyPuHg crystal.

Unit cell a=5.3879 b=5.3879 c=5.3879 alpha=60.00 beta=60.00 gamma=60.00
With the nearest neighbours (Å) after each atom.
Sites, in units of the cell vectors:
Pm1 0.0000 0.0000 0.0000  4 Pu 3.30, 4 Dy 3.30
Dy1 0.2500 0.2500 0.2500  4 Hg 3.30, 4 Pm 3.30
Pu1 0.7500 0.7500 0.7500  4 Hg 3.30, 4 Pm 3.30
Hg1 0.5000 0.5000 0.5000  4 Dy 3.30, 4 Pu 3.30

Computed properties:
formation enthalpy at 0 K	0.072	eV per atom
volume	27.6	Å³/atom
SG	No. 216
size of the total moment	1.8974	μB/atom

***

A plane-wave DFT calculation with PBE-GGA was carried out for a relaxed MgTiBe3 crystal.

Unit cell a=4.4875 b=4.4875 c=4.4875 alpha=90.00 beta=90.00 gamma=90.00
With the nearest neighbours (Å) after each atom.
Sites, in units of the cell vectors:
Mg1 0.0000 0.0000 0.0000  12 Be 3.17
Ti1 0.5000 0.5000 0.5000  6 Be 2.24
Be1 0.0000 0.5000 0.5000  2 Ti 2.24
Be2 0.5000 0.0000 0.5000  2 Ti 2.24
Be3 0.5000 0.5000 0.0000  2 Ti 2.24

Computed properties:
formation enthalpy at 0 K	1.336	eV per atom
volume	18.1	Å³/atom
SG	No. 221
energy above the most stable polymorph in this dataset	0.1464	eV per atom
size of the total moment	0.3949	μB/atom

***

Which value of formation enthalpy at 0 K does entry 3 give? 1.336 eV per atom